Here is crystalline Nb2TeC at its relaxed geometry from the Alexandria database. Energies are from PBE-GGA.

Results
Crystal system = cubic
Uncorrected formation energy = 0.74 eV per atom
Raw total energy = -7.391 eV per atom

```
data_Nb2TeC
_cell_length_a 6.3603
_cell_length_b 6.3603
_cell_length_c 6.3603
_cell_angle_alpha 90.00
_cell_angle_beta 90.00
_cell_angle_gamma 90.00
_space_group_name_H-M_alt 'F m -3 m'
_space_group_IT_number 225
_space_group_name_Hall '-F 4 2 3'
loop_
_atom_site_label
_atom_site_type_symbol
_atom_site_fract_x
_atom_site_fract_y
_atom_site_fract_z
Nb1 Nb 0.2500 0.2500 0.2500
Te1 Te 0.0000 0.0000 0.0000
C1 C 0.0000 0.0000 0.5000
```

Here is crystalline Pm12InGa5 at its relaxed geometry from the Alexandria database. Energies are from PBE-GGA.

Results
Crystal system = orthorhombic
Raw total energy = -4.557 eV per atom

```
data_Pm12InGa5
_cell_length_a 9.8741
_cell_length_b 9.9400
_cell_length_c 10.8199
_cell_angle_alpha 90.00
_cell_angle_beta 90.00
_cell_angle_gamma 90.00
_space_group_name_H-M_alt 'I m m m'
_space_group_IT_number 71
_space_group_name_Hall '-I 2 2'
loop_
_atom_site_label
_atom_site_type_symbol
_atom_site_fract_x
_atom_site_fract_y
_atom_site_fract_z
Pm1 Pm 0.0000 0.1969 0.2341
Pm2 Pm 0.2050 0.5000 0.1782
Pm3 Pm 0.2242 0.3203 0.5000
In1 In 0.0000 0.0000 0.5000
Ga1 Ga 0.0000 0.0000 0.0000
Ga2 Ga 0.0000 0.3577 0.0000
Ga3 Ga 0.0000 0.5000 0.3799
```

Here is crystalline LaTiCu2Bi at its relaxed geometry from the Alexandria database. Energies are from PBE-GGA.

Results
Crystal system = tetragonal
Raw total energy = -3.834 eV per atom

```
data_LaTiCu2Bi
_cell_length_a 5.0907
_cell_length_b 5.0907
_cell_length_c 6.1134
_cell_angle_alpha 90.00
_cell_angle_beta 90.00
_cell_angle_gamma 90.00
_space_group_name_H-M_alt 'P 4/m m m'
_space_group_IT_number 123
_space_group_name_Hall '-P 4 2'
loop_
_atom_site_label
_atom_site_type_symbol
_atom_site_fract_x
_atom_site_fract_y
_atom_site_fract_z
La1 La 0.0000 0.0000 0.0000
Ti1 Ti 0.5000 0.5000 0.5000
Cu1 Cu 0.0000 0.5000 0.0000
Bi1 Bi 0.0000 0.0000 0.5000
```

Here is crystalline Sr2GaAg4Sn3 at its relaxed geometry from the Alexandria database. Energies are from PBE-GGA.

Results
Crystal system = tetragonal
Raw total energy = -3.307 eV per atom

```
data_Sr2GaAg4Sn3
_cell_length_a 4.6449
_cell_length_b 4.6449
_cell_length_c 11.7038
_cell_angle_alpha 90.00
_cell_angle_beta 90.00
_cell_angle_gamma 90.00
_space_group_name_H-M_alt 'P -4 m 2'
_space_group_IT_number 115
loop_
_space_group_symop_operation_xyz
'x,y,z'
'y,-x,-z'
'-x,-y,z'
'-y,x,-z'
'-x,y,z'
'-y,-x,-z'
'x,-y,z'
'y,x,-z'
loop_
_atom_site_label
_atom_site_type_symbol
_atom_site_fract_x
_atom_site_fract_y
_atom_site_fract_z
Sr1 Sr 0.0000 0.5000 0.2488
Ga1 Ga 0.0000 0.0000 0.5000
Ag1 Ag 0.0000 0.0000 0.0000
Ag2 Ag 0.0000 0.5000 0.6314
Ag3 Ag 0.5000 0.5000 0.0000
Sn1 Sn 0.0000 0.5000 0.8647
Sn2 Sn 0.5000 0.5000 0.5000
```

Here is crystalline MnRe3C at its relaxed geometry from the Alexandria database. Energies are from PBE-GGA.

Results
Energy above the lowest structure with this stoichiometry = 2523.7 meV per atom
Crystal system = cubic
Raw total energy = -8.311 eV per atom

```
data_MnRe3C
_cell_length_a 4.3993
_cell_length_b 4.3993
_cell_length_c 4.3993
_cell_angle_alpha 90.00
_cell_angle_beta 90.00
_cell_angle_gamma 90.00
_space_group_name_H-M_alt 'P m -3 m'
_space_group_IT_number 221
_space_group_name_Hall '-P 4 2 3'
loop_
_atom_site_label
_atom_site_type_symbol
_atom_site_fract_x
_atom_site_fract_y
_atom_site_fract_z
Mn1 Mn 0.0000 0.0000 0.0000
Re1 Re 0.0000 0.0000 0.5000
C1 C 0.5000 0.5000 0.5000
```

Here is crystalline BeTcCl2 at its relaxed geometry from the Alexandria database. Energies are from PBE-GGA.

Results
Energy above the lowest structure with this stoichiometry = 1270.2 meV per atom
Crystal system = cubic
Uncorrected formation energy = 1.02 eV per atom
Raw total energy = -3.430 eV per atom

```
data_BeTcCl2
_cell_length_a 6.5102
_cell_length_b 6.5102
_cell_length_c 6.5102
_cell_angle_alpha 90.00
_cell_angle_beta 90.00
_cell_angle_gamma 90.00
_space_group_name_H-M_alt 'F -4 3 m'
_space_group_IT_number 216
_space_group_name_Hall 'F -4 2 3'
loop_
_atom_site_label
_atom_site_type_symbol
_atom_site_fract_x
_atom_site_fract_y
_atom_site_fract_z
Be1 Be 0.0000 0.0000 0.0000
Tc1 Tc 0.2500 0.2500 0.2500
Cl1 Cl 0.0000 0.0000 0.5000
Cl2 Cl 0.2500 0.2500 0.7500
```

Here is crystalline DyEr3 at its relaxed geometry from the Alexandria database. Energies are from PBE-GGA.

Results
Energy above the lowest structure with this stoichiometry = 0.0 meV per atom
Crystal system = orthorhombic
Raw total energy = -4.573 eV per atom

```
data_DyEr3
_cell_length_a 3.5886
_cell_length_b 5.5526
_cell_length_c 6.2141
_cell_angle_alpha 90.00
_cell_angle_beta 90.00
_cell_angle_gamma 90.00
_space_group_name_H-M_alt 'P m m 2'
_space_group_IT_number 25
loop_
_space_group_symop_operation_xyz
'x,y,z'
'-x,-y,z'
'-x,y,z'
'x,-y,z'
loop_
_atom_site_label
_atom_site_type_symbol
_atom_site_fract_x
_atom_site_fract_y
_atom_site_fract_z
Dy1 Dy 0.0000 0.0000 0.0000
Er1 Er 0.0000 0.5000 0.3344
Er2 Er 0.5000 0.0000 0.5006
Er3 Er 0.5000 0.5000 0.8339
```

Here is crystalline Pr2Dy4Tm5 at its relaxed geometry from the Alexandria database. Energies are from PBE-GGA.

Results
Energy above the lowest structure with this stoichiometry = 186.5 meV per atom
Crystal system = orthorhombic
Raw total energy = -4.364 eV per atom

```
data_Pr2Dy4Tm5
_cell_length_a 3.4799
_cell_length_b 11.4579
_cell_length_c 18.2915
_cell_angle_alpha 90.00
_cell_angle_beta 90.00
_cell_angle_gamma 90.00
_space_group_name_H-M_alt 'I m m m'
_space_group_IT_number 71
_space_group_name_Hall '-I 2 2'
loop_
_atom_site_label
_atom_site_type_symbol
_atom_site_fract_x
_atom_site_fract_y
_atom_site_fract_z
Pr1 Pr 0.0000 0.0000 0.2023
Dy1 Dy 0.0000 0.0000 0.4096
Dy2 Dy 0.0000 0.2735 0.0000
Tm1 Tm 0.0000 0.2914 0.1790
Tm2 Tm 0.0000 0.5000 0.5000
```

Which value of raw total energy does entry 8 give? -4.364 eV per atom

Look up the raw total energy of the eighth one. -4.364 eV per atom

Which of these has the lowest raw total energy? MnRe3C